Entry 1:
NbCoRh | PBE | optimized geometry

The structure belongs to space group Cm (No. 8); the cell edges are 8.504, 3.893 and 5.383 Å and the angles 90.00°, 106.17° and 90.00°. The inequivalent atoms are Nb at (0.000, 0.000, 0.000), Nb at (0.208, 0.500, 0.410), Co at (0.027, 0.000, 0.528), Co at (0.351, 0.000, 0.698), Rh at (0.176, 0.500, 0.875) and Rh at (0.358, 0.000, 0.210).

The value obtained for the density of states at the Fermi level is 2.36 states/eV/f.u. The formation energy from the elements comes out at -0.28 eV per atom. Its total energy is -101.47 eV per cell.

Entry 2:
NbCoSnRh | PBE | optimized geometry

The structure belongs to space group F-43m (No. 216); the cell edges are 6.336, 6.336 and 6.336 Å and the angles 90.00°, 90.00° and 90.00°. The inequivalent atoms are Nb at (0.000, 0.000, 0.000), Co at (0.250, 0.250, 0.250), Sn at (0.000, 0.000, 0.500) and Rh at (0.250, 0.250, 0.750).

The value obtained for the density of states at the Fermi level is 4.56 states/eV/f.u. The formation energy from the elements comes out at -0.23 eV per atom. Its total energy is -117.75 eV per cell.

Entry 3:
TiNbCoRh2 | PBE | optimized geometry

The structure belongs to space group P4/mmm (No. 123); the cell edges are 4.409, 4.409 and 4.720 Å and the angles 90.00°, 90.00° and 90.00°. The inequivalent atoms are Ti at (0.000, 0.000, 0.000), Nb at (0.000, 0.000, 0.500), Co at (0.500, 0.500, 0.500) and Rh at (0.000, 0.500, 0.000).

The value obtained for the density of states at the Fermi level is 5.93 states/eV/f.u. The formation energy from the elements comes out at 1.11 eV per atom. Its total energy is -34.23 eV per cell.

Entry 4:
TiNbCoRh | PBE | optimized geometry

The structure belongs to space group F-43m (No. 216); the cell edges are 6.213, 6.213 and 6.213 Å and the angles 90.00°, 90.00° and 90.00°. The inequivalent atoms are Ti at (0.000, 0.000, 0.000), Nb at (0.000, 0.000, 0.500), Co at (0.250, 0.250, 0.250) and Rh at (0.250, 0.250, 0.750).

The value obtained for the density of states at the Fermi level is 5.25 states/eV/f.u. The formation energy from the elements comes out at -0.30 eV per atom. Its total energy is -134.54 eV per cell.

Entry 5:
NbVCoRh | PBE | optimized geometry

The structure belongs to space group F-43m (No. 216); the cell edges are 6.058, 6.058 and 6.058 Å and the angles 90.00°, 90.00° and 90.00°. The inequivalent atoms are Nb at (0.000, 0.000, 0.000), V at (0.250, 0.250, 0.250), Co at (0.250, 0.250, 0.750) and Rh at (0.000, 0.000, 0.500).

The value obtained for the density of states at the Fermi level is 4.06 states/eV/f.u. The formation energy from the elements comes out at -0.11 eV per atom. Its total energy is -136.35 eV per cell.

Entry 6:
NbZnCoRh | PBE | optimized geometry

The structure belongs to space group I-4m2 (No. 119); the cell edges are 4.002, 4.002 and 7.020 Å and the angles 90.00°, 90.00° and 90.00°. The inequivalent atoms are Nb at (0.000, 0.000, 0.000), Zn at (0.000, 0.000, 0.500), Co at (0.000, 0.500, 0.250) and Rh at (0.000, 0.500, 0.750).

Its energy above the most stable polymorph in this dataset is 0 meV/atom. The value obtained for the density of states at the Fermi level is 1.92 states/eV/f.u. The formation energy from the elements comes out at -0.32 eV per atom. Its total energy is -54.19 eV per cell.

Entry 7:
NbZnCoRh | PBE | optimized geometry

The structure belongs to space group F-43m (No. 216); the cell edges are 6.101, 6.101 and 6.101 Å and the angles 90.00°, 90.00° and 90.00°. The inequivalent atoms are Nb at (0.000, 0.000, 0.000), Zn at (0.000, 0.000, 0.500), Co at (0.250, 0.250, 0.250) and Rh at (0.250, 0.250, 0.750).

Its energy above the most stable polymorph in this dataset is 30 meV/atom. The value obtained for the density of states at the Fermi level is 2.92 states/eV/f.u. The formation energy from the elements comes out at -0.29 eV per atom. Its total energy is -107.89 eV per cell.

Entry 8:
NbCo2Ru | PBE | optimized geometry

The structure belongs to space group P4/mmm (No. 123); the cell edges are 3.753, 3.753 and 3.716 Å and the angles 90.00°, 90.00° and 90.00°. The inequivalent atoms are Nb at (0.000, 0.000, 0.000), Co at (0.000, 0.500, 0.500) and Ru at (0.500, 0.500, 0.000).

Its energy above the most stable polymorph in this dataset is 0 meV/atom. The value obtained for the density of states at the Fermi level is 4.12 states/eV/f.u. The formation energy from the elements comes out at -0.14 eV per atom. Its total energy is -34.11 eV per cell.

Entry 9:
Nb2CoRu | PBE | optimized geometry

The structure belongs to space group P4/mmm (No. 123); the cell edges are 3.058, 3.058 and 6.595 Å and the angles 90.00°, 90.00° and 90.00°. The inequivalent atoms are Nb at (0.000, 0.000, 0.241), Co at (0.500, 0.500, 0.000) and Ru at (0.500, 0.500, 0.500).

The value obtained for the density of states at the Fermi level is 3.82 states/eV/f.u. The formation energy from the elements comes out at -0.11 eV per atom. Its total energy is -36.97 eV per cell.

Entry 10:
NbCoRu | PBE | optimized geometry

The structure belongs to space group C2/m (No. 12); the cell edges are 10.012, 2.760 and 6.411 Å and the angles 90.00°, 105.85° and 90.00°. The inequivalent atoms are Nb at (0.030, 0.000, 0.273), Co at (0.153, 0.500, 0.026) and Ru at (0.196, 0.500, 0.642).

Its energy above the most stable polymorph in this dataset is 175 meV/atom. The value obtained for the density of states at the Fermi level is 2.98 states/eV/f.u. The formation energy from the elements comes out at -0.05 eV per atom. Its total energy is -106.39 eV per cell.

Entry 11:
NbCoRu | PBE | optimized geometry

The structure belongs to space group C2/m (No. 12); the cell edges are 8.335, 3.875 and 5.451 Å and the angles 90.00°, 105.28° and 90.00°. The inequivalent atoms are Nb at (0.153, 0.000, 0.303), Co at (0.175, 0.000, 0.835), Ru at (0.000, 0.500, 0.000) and Ru at (0.000, 0.500, 0.500).

Its energy above the most stable polymorph in this dataset is 77 meV/atom. The value obtained for the density of states at the Fermi level is 2.53 states/eV/f.u. The formation energy from the elements comes out at -0.15 eV per atom. Its total energy is -107.56 eV per cell.

Entry 12:
NbCo2Ru | PBE | optimized geometry

The structure belongs to space group I-42d (No. 122); the cell edges are 3.641, 3.641 and 17.587 Å and the angles 90.00°, 90.00° and 90.00°. The inequivalent atoms are Nb at (0.000, 0.000, 0.000), Co at (0.229, 0.250, 0.625) and Ru at (0.000, 0.000, 0.500).

Its energy above the most stable polymorph in this dataset is 581 meV/atom. The value obtained for the density of states at the Fermi level is 5.66 states/eV/f.u. The formation energy from the elements comes out at 0.44 eV per atom. Its total energy is -127.14 eV per cell.

Entry 13:
NbCo2Ru | PBE | optimized geometry

The structure belongs to space group Fm-3m (No. 225); the cell edges are 6.005, 6.005 and 6.005 Å and the angles 90.00°, 90.00° and 90.00°. The inequivalent atoms are Nb at (0.000, 0.000, 0.000), Co at (0.250, 0.250, 0.250) and Ru at (0.000, 0.000, 0.500).

Its energy above the most stable polymorph in this dataset is 249 meV/atom. The value obtained for the density of states at the Fermi level is 8.41 states/eV/f.u. The formation energy from the elements comes out at 0.11 eV per atom. Its total energy is -132.46 eV per cell.

Entry 14:
NbCoRu | PBE | optimized geometry

The structure belongs to space group C2/c (No. 15); the cell edges are 4.698, 8.368 and 4.707 Å and the angles 90.00°, 111.91° and 90.00°. The inequivalent atoms are Nb at (0.000, 0.111, 0.250), Co at (0.000, 0.255, 0.750) and Ru at (0.000, 0.428, 0.250).

Its energy above the most stable polymorph in this dataset is 168 meV/atom. The value obtained for the density of states at the Fermi level is 3.20 states/eV/f.u. The formation energy from the elements comes out at -0.06 eV per atom. Its total energy is -106.47 eV per cell.

Entry 15:
NbCoRu | PBE | optimized geometry

The structure belongs to space group P-6m2 (No. 187); the cell edges are 4.2170, 4.2170 and 2.8296 Å and the angles 90.00°, 90.00° and 120.00°. The inequivalent atoms are Nb at (0.0000, 0.0000, 0.0000), Co at (0.6667, 0.3333, 0.5000) and Ru at (0.3333, 0.6667, 0.5000).

Its energy above the most stable polymorph in this dataset is 288 meV/atom. The value obtained for the density of states at the Fermi level is 3.74 states/eV/f.u. The formation energy from the elements comes out at 0.06 eV per atom. Its total energy is -26.26 eV per cell.

Entry 16:
NbCoRu | PBE | optimized geometry

The structure belongs to space group Cm (No. 8); the cell edges are 7.504, 4.336 and 5.275 Å and the angles 90.00°, 90.47° and 90.00°. The inequivalent atoms are Nb at (0.000, 0.000, 0.000), Nb at (0.164, 0.500, 0.542), Co at (0.167, 0.500, 0.048), Co at (0.332, 0.000, 0.266), Ru at (0.332, 0.000, 0.778) and Ru at (0.497, 0.500, 0.497).

Its energy above the most stable polymorph in this dataset is 126 meV/atom. The value obtained for the density of states at the Fermi level is 2.67 states/eV/f.u. The formation energy from the elements comes out at -0.10 eV per atom. Its total energy is -106.97 eV per cell.

Entry 17:
Nb3CoRu2 | PBE | optimized geometry

The structure belongs to space group P2/m (No. 10); the cell edges are 4.394, 6.274 and 7.123 Å and the angles 90.00°, 107.91° and 90.00°. The inequivalent atoms are Nb at (0.000, 0.246, 0.000), Nb at (0.324, 0.268, 0.648), Co at (0.139, 0.500, 0.278), Ru at (0.167, 0.000, 0.334), Ru at (0.500, 0.000, 0.000) and Ru at (0.500, 0.500, 0.000).

The value obtained for the density of states at the Fermi level is 5.15 states/eV/f.u. The formation energy from the elements comes out at -0.17 eV per atom. Its total energy is -113.81 eV per cell.

Entry 18:
Nb2CoRu2 | PBE | optimized geometry

The structure belongs to space group P4/mbm (No. 127); the cell edges are 7.170, 7.170 and 3.114 Å and the angles 90.00°, 90.00° and 90.00°. The inequivalent atoms are Nb at (0.169, 0.331, 0.000), Co at (0.000, 0.000, 0.500) and Ru at (0.135, 0.635, 0.500).

The value obtained for the density of states at the Fermi level is 7.70 states/eV/f.u. The formation energy from the elements comes out at 0.16 eV per atom. Its total energy is -90.04 eV per cell.

Entry 19:
Nb2CoRu | PBE | optimized geometry

The structure belongs to space group I-42d (No. 122); the cell edges are 6.883, 6.883 and 5.460 Å and the angles 90.00°, 90.00° and 90.00°. The inequivalent atoms are Nb at (0.238, 0.750, 0.125), Co at (0.000, 0.000, 0.000) and Ru at (0.000, 0.000, 0.500).

The value obtained for the density of states at the Fermi level is 6.35 states/eV/f.u. The formation energy from the elements comes out at 0.34 eV per atom. Its total energy is -140.62 eV per cell.

Entry 20:
NbCoRu | PBE | optimized geometry

The structure belongs to space group Cm (No. 8); the cell edges are 8.549, 3.876 and 5.334 Å and the angles 90.00°, 105.55° and 90.00°. The inequivalent atoms are Nb at (0.000, 0.000, 0.000), Nb at (0.207, 0.500, 0.362), Co at (0.026, 0.000, 0.503), Co at (0.356, 0.000, 0.183), Ru at (0.177, 0.500, 0.849) and Ru at (0.354, 0.000, 0.674).

Its energy above the most stable polymorph in this dataset is 101 meV/atom. The value obtained for the density of states at the Fermi level is 2.36 states/eV/f.u. The formation energy from the elements comes out at -0.12 eV per atom. Its total energy is -107.28 eV per cell.